#i
This record from the Open Quantum Materials Database describes a relaxed structure of Cu7Ag3. The functional is PBE.

Properties
Density: 9.34 g/cm3
Symmetry: No. 6

Cell: 6.6766 2.7645 7.4958 Å, 90.00 99.26 90.00°
Closest atoms and distances in Å follow each position.
Sites, in units of the cell vectors:
Ag1 0.1150 0.5000 0.2748  9 Cu 2.70-2.93, 4 Ag 2.76-2.87
Ag2 0.1940 0.0000 0.6137  7 Cu 2.66-2.84, 5 Ag 2.76-2.87
Ag3 0.5830 0.0000 0.8120  9 Cu 2.68-2.77, 3 Ag 2.76-2.78
Cu1 0.7202 0.5000 0.1149  8 Cu 2.49-2.76, 3 Ag 2.69-2.71
Cu2 0.4407 0.0000 0.2017  9 Cu 2.49-2.76, 2 Ag 2.71
Cu3 0.8012 0.0000 0.4008  9 Cu 2.53-2.76, 2 Ag 2.80
Cu4 0.5120 0.5000 0.4884  7 Cu 2.54-2.76, 4 Ag 2.77-2.82
Cu5 0.8764 0.5000 0.6880  7 Cu 2.53-2.76, 4 Ag 2.66-2.68
Cu6 0.2803 0.5000 0.9353  6 Cu 2.50-2.76, 4 Ag 2.73-2.76
Cu7 0.9772 0.0000 0.9704  8 Cu 2.50-2.76, 3 Ag 2.70-2.71

---

#ii
This record from the Open Quantum Materials Database describes a relaxed structure of Cu7Ag3. The functional is PBE.

Properties
Density: 9.26 g/cm3
Symmetry: No. 1

Cell: 4.6568 4.6655 7.0944 Å, 108.50 102.67 99.70°
Closest atoms and distances in Å follow each position.
Sites, in units of the cell vectors:
Ag1 0.2762 0.5963 0.0885  9 Cu 2.66-2.85, 3 Ag 2.76-2.81
Ag2 0.6102 0.2022 0.1948  8 Cu 2.65-2.84, 4 Ag 2.75-2.77
Ag3 0.2159 0.4031 0.4179  8 Cu 2.61-2.75, 3 Ag 2.75-2.81
Cu1 0.9038 0.8067 0.3131  6 Cu 2.59-2.89, 6 Ag 2.69-2.84
Cu2 0.5215 0.0027 0.5138  8 Cu 2.53-2.76, 3 Ag 2.69-2.79
Cu3 0.8146 0.6089 0.6141  9 Cu 2.49-2.71, 2 Ag 2.68-2.69
Cu4 0.0945 0.1827 0.6991  10 Cu 2.56-2.83, 2 Ag 2.64-2.67
Cu5 0.4019 0.8125 0.7971  9 Cu 2.57-2.83, 3 Ag 2.61-2.70
Cu6 0.6825 0.3989 0.8810  8 Cu 2.53-2.73, 3 Ag 2.67-2.75
Cu7 0.9789 0.9860 0.9805  6 Cu 2.49-2.73, 3 Ag 2.65-2.73

---

Most stable pick: #i. Distance to second place: 6 meV/atom.

---

#i
This record from the Open Quantum Materials Database describes a relaxed structure of LiLuInCo. The functional is PBE.

Properties
Density: 8.09 g/cm3
Magnetic moment: 1.37 Bohr magnetons per cell
Symmetry: No. 216

Cell: 4.6916 4.6916 4.6916 Å, 60.00 60.00 60.00°
Closest atoms and distances in Å follow each position.
Sites, in units of the cell vectors:
Co1 0.7500 0.7500 0.7500  4 In 2.87, 4 Li 2.87
In1 0.0000 0.0000 0.0000  4 Co 2.87, 4 Lu 2.87
Li1 0.5000 0.5000 0.5000  4 Lu 2.87, 4 Co 2.87
Lu1 0.2500 0.2500 0.2500  4 Li 2.87, 4 In 2.87

---

#ii
This record from the Open Quantum Materials Database describes a relaxed structure of LiLuInCo. The functional is PBE.

Properties
Density: 8.58 g/cm3
Magnetic moment: 0.26 Bohr magnetons per cell
Symmetry: No. 216

Cell: 4.6005 4.6005 4.6005 Å, 60.00 60.00 60.00°
Closest atoms and distances in Å follow each position.
Sites, in units of the cell vectors:
Co1 0.7500 0.7500 0.7500  4 In 2.82, 4 Lu 2.82
In1 0.0000 0.0000 0.0000  4 Li 2.82, 4 Co 2.82
Li1 0.2500 0.2500 0.2500  4 Lu 2.82, 4 In 2.82
Lu1 0.5000 0.5000 0.5000  4 Li 2.82, 4 Co 2.82

---

Most stable pick: #ii. Distance to second place: 266 meV/atom.

---

#i
This record from the Open Quantum Materials Database describes a relaxed structure of Pt. The functional is PBE.

Properties
Density: 13.65 g/cm3
Magnetic moment: 0.10 Bohr magnetons per cell
Symmetry: No. 164

Cell: 2.7600 2.7600 32.3656 Å, 90.00 90.00 120.00°
Closest atoms and distances in Å follow each position.
Sites, in units of the cell vectors:
Pt1 0.3333 0.6667 0.2122  9 Pt 2.76-2.85
Pt2 0.0000 0.0000 0.2851  12 Pt 2.76-2.85
Pt3 0.6667 0.3333 0.3569  12 Pt 2.76-2.82
Pt4 0.3333 0.6667 0.4284  12 Pt 2.76-2.81
Pt5 0.0000 0.0000 0.5000  12 Pt 2.76-2.81
Pt6 0.6667 0.3333 0.5716  12 Pt 2.76-2.81
Pt7 0.3333 0.6667 0.6431  12 Pt 2.76-2.82
Pt8 0.0000 0.0000 0.7149  12 Pt 2.76-2.85
Pt9 0.6667 0.3333 0.7878  9 Pt 2.76-2.85

---

#ii
This record from the Open Quantum Materials Database describes a relaxed structure of Pt. The functional is PBE.

Properties
Density: 20.37 g/cm3
Magnetic moment: 0.06 Bohr magnetons per cell
Symmetry: No. 217

Cell: 8.4295 8.4295 8.4295 Å, 109.47 109.47 109.47°
Closest atoms and distances in Å follow each position.
Sites, in units of the cell vectors:
Pt1 0.0000 0.0000 0.0000  4 Pt 2.76
Pt2 0.6731 0.0000 0.0000  10 Pt 2.72-2.89
Pt3 0.3859 0.1921 0.0000  10 Pt 2.64-2.89
Pt4 0.1921 0.3859 0.0000  10 Pt 2.64-2.89
Pt5 0.6956 0.4241 0.0000  8 Pt 2.69-2.89
Pt6 0.0000 0.6731 0.0000  10 Pt 2.72-2.89
Pt7 0.4241 0.6956 0.0000  8 Pt 2.69-2.89
Pt8 0.3859 0.0000 0.1921  10 Pt 2.64-2.89
Pt9 0.0000 0.3859 0.1921  10 Pt 2.64-2.89
Pt10 0.8079 0.8079 0.1938  10 Pt 2.64-2.89
Pt11 0.5759 0.5759 0.2715  8 Pt 2.69-2.89
Pt12 0.7285 0.3044 0.3044  8 Pt 2.69-2.89
Pt13 0.3044 0.7285 0.3044  8 Pt 2.69-2.89
Pt14 0.3269 0.3269 0.3269  10 Pt 2.72-2.89
Pt15 0.1921 0.0000 0.3859  10 Pt 2.64-2.89
Pt16 0.0000 0.1921 0.3859  10 Pt 2.64-2.89
Pt17 0.6956 0.0000 0.4241  8 Pt 2.69-2.89
Pt18 0.0000 0.6956 0.4241  8 Pt 2.69-2.89
Pt19 0.5759 0.2715 0.5759  8 Pt 2.69-2.89
Pt20 0.2715 0.5759 0.5759  8 Pt 2.69-2.89
Pt21 0.8062 0.6141 0.6141  10 Pt 2.64-2.89
Pt22 0.6141 0.8062 0.6141  10 Pt 2.64-2.89
Pt23 0.0000 0.0000 0.6731  10 Pt 2.72-2.89
Pt24 0.4241 0.0000 0.6956  8 Pt 2.69-2.89
Pt25 0.0000 0.4241 0.6956  8 Pt 2.69-2.89
Pt26 0.3044 0.3044 0.7285  8 Pt 2.69-2.89
Pt27 0.6141 0.6141 0.8062  10 Pt 2.64-2.89
Pt28 0.8079 0.1938 0.8079  10 Pt 2.64-2.89
Pt29 0.1938 0.8079 0.8079  10 Pt 2.64-2.89

---

Most stable pick: #i. Distance to second place: 10 meV/atom.

---

#i
This record from the Open Quantum Materials Database describes a relaxed structure of AlTcGe. The functional is PBE.

Properties
Density: 6.52 g/cm3
Magnetic moment: 0.00 Bohr magnetons per cell
Symmetry: No. 216

Cell: 4.1449 4.1449 4.1449 Å, 60.00 60.00 60.00°
Closest atoms and distances in Å follow each position.
Sites, in units of the cell vectors:
Al1 0.2500 0.2500 0.2500  4 Ge 2.54
Ge1 0.0000 0.0000 0.0000  4 Tc 2.54, 4 Al 2.54
Tc1 0.7500 0.7500 0.7500  4 Ge 2.54

---

#ii
This record from the Open Quantum Materials Database describes a relaxed structure of AlTcGe. The functional is PBE.

Properties
Density: 6.32 g/cm3
Magnetic moment: 0.00 Bohr magnetons per cell
Symmetry: No. 216

Cell: 4.1872 4.1872 4.1872 Å, 60.00 60.00 60.00°
Closest atoms and distances in Å follow each position.
Sites, in units of the cell vectors:
Al1 0.2500 0.2500 0.2500  4 Tc 2.56
Ge1 0.7500 0.7500 0.7500  4 Tc 2.56
Tc1 0.0000 0.0000 0.0000  4 Ge 2.56, 4 Al 2.56

---

Most stable pick: #ii. Distance to second place: 132 meV/atom.

---

#i
This record from the Open Quantum Materials Database describes a relaxed structure of NbTc2Ge2. The functional is PBE.

Properties
Density: 8.37 g/cm3
Magnetic moment: 0.00 Bohr magnetons per cell
Symmetry: No. 139

Cell: 5.4781 5.4781 5.4781 Å, 133.08 133.08 68.53°
Closest atoms and distances in Å follow each position.
Sites, in units of the cell vectors:
Ge1 0.7500 0.2500 0.5000  4 Tc 2.46
Ge2 0.2500 0.7500 0.5000  4 Tc 2.46
Nb1 0.0000 0.0000 0.0000  8 Ge 3.14, 10 Tc 3.28-3.41
Tc1 0.3763 0.3763 0.0000  1 Tc 2.24, 4 Ge 2.46
Tc2 0.6237 0.6237 0.0000  1 Tc 2.24, 4 Ge 2.46

---

#ii
This record from the Open Quantum Materials Database describes a relaxed structure of NbTc2Ge2. The functional is PBE.

Properties
Density: 8.60 g/cm3
Magnetic moment: 0.06 Bohr magnetons per cell
Symmetry: No. 139

Cell: 5.8514 5.8514 5.8514 Å, 139.47 139.47 58.66°
Closest atoms and distances in Å follow each position.
Sites, in units of the cell vectors:
Ge1 0.3845 0.3845 0.0000  1 Ge 2.36, 4 Tc 2.45
Ge2 0.6155 0.6155 0.0000  1 Ge 2.36, 4 Tc 2.45
Nb1 0.0000 0.0000 0.0000  8 Ge 3.10, 8 Tc 3.26
Tc1 0.7500 0.2500 0.5000  4 Ge 2.45
Tc2 0.2500 0.7500 0.5000  4 Ge 2.45

---

Most stable pick: #ii. Distance to second place: 139 meV/atom.